1.
A geometry-optimized PrAgHg2 structure. Source: Alexandria via LeMat-Bulk, functional PBE-GGA.

**Formation energy from the elements**: -0.24 eV per atom

Lattice parameters (Å, degrees): 4.6381 4.6381 4.7257 90.00 90.00 90.00
Closest atoms and distances in Å follow each position.
Space group P4/mmm (No. 123)
Unique sites:
Pr1 0.0000 0.0000 0.0000 [1 per cell]  4 Ag 3.28, 8 Hg 3.31
Ag1 0.5000 0.5000 0.0000 [1 per cell]  4 Pr 3.28, 8 Hg 3.31
Hg1 0.0000 0.5000 0.5000 [2 per cell]  4 Hg 3.28, 4 Pr 3.31, 4 Ag 3.31

***

2.
A geometry-optimized Sc4GaSn structure. Source: Alexandria via LeMat-Bulk, functional PBE-GGA.

**Formation energy from the elements**: -0.32 eV per atom

Lattice parameters (Å, degrees): 8.2635 4.7796 7.7868 90.00 110.65 90.00
Closest atoms and distances in Å follow each position.
Space group C2/m (No. 12)
Unique sites:
Sc1 0.1244 0.0000 0.3735 [4 per cell]  1 Ga 2.72, 3 Sn 2.91
Sc2 0.2088 0.5000 0.1271 [4 per cell]  3 Ga 2.91
Ga1 0.0000 0.0000 0.0000 [2 per cell]  8 Sc 2.72-2.91
Sn1 0.0000 0.5000 0.5000 [2 per cell]  6 Sc 2.91

***

> The highest formation energy from the elements belongs to which entry?

PrAgHg2